Record 1
The following is a DFT calculation (GGA-PBE) of crystalline Y2BeFePt6 at its relaxed geometry.

abc: 5.6211 5.6211 20.2308
angles: 90.00 90.00 120.00
With the nearest neighbours (Å) after each atom.
Space group R-3m (No. 166, hexagonal axes)
One atom of each set of equivalent atoms:
Y (0.0000, 0.0000, 0.2073) x6  9 Pt 3.01-3.19, 3 Fe 3.35
Be (0.0000, 0.0000, 0.0000) x3  6 Pt 2.20
Fe (0.0000, 0.0000, 0.5000) x3  6 Pt 2.49
Pt (0.0044, 0.5022, 0.2612) x18  1 Be 2.20

- DFT total energy (eV/atom) = -6.854

***

Record 2
The following is a DFT calculation (GGA-PBE) of crystalline SbAs2W at its relaxed geometry.

abc: 3.1208 3.2176 17.1260
angles: 90.00 90.00 90.00
With the nearest neighbours (Å) after each atom.
Space group Imm2 (No. 44)
One atom of each set of equivalent atoms:
Sb (0.0000, 0.0000, 0.0000) x2  4 Sb 3.12-3.22, 6 As 3.14-3.40
As (0.0000, 0.0000, 0.6494) x2  2 W 2.54
As (0.0000, 0.5000, 0.3411) x2  4 W 2.60
W (0.0000, 0.5000, 0.7641) x2  6 As 2.54-2.60

- DFT total energy (eV/atom) = -6.291
- E_form (uncorrected) (eV per formula unit) = 1.2